No. 1
# PBE-GGA Ac2NdPuS4, optimized geometry
data_Ac2NdPuS4
_cell_length_a 7.2049
_cell_length_b 4.1429
_cell_length_c 7.2544
_cell_angle_alpha 90.00
_cell_angle_beta 109.20
_cell_angle_gamma 90.00
_space_group_name_H-M_alt 'P 1 2/m 1'
_space_group_IT_number 10
_space_group_name_Hall '-P 2y'
loop_
_atom_site_label
_atom_site_type_symbol
_atom_site_fract_x
_atom_site_fract_y
_atom_site_fract_z
_atom_site_occupancy
Ac1 Ac 0.0000 0.0000 0.0000 1
Ac2 Ac 0.5000 0.5000 0.0000 1
Nd1 Nd 0.0000 0.5000 0.5000 1
Pu1 Pu 0.5000 0.0000 0.5000 1
S1 S 0.2480 0.0000 0.7320 1
S2 S 0.2615 0.5000 0.2713 1
# - Raw formation energy: -1.941 eV per atom



No. 2
# PBE-GGA GaSeNO2, optimized geometry
data_GaSeNO2
_cell_length_a 3.7981
_cell_length_b 3.7981
_cell_length_c 4.0182
_cell_angle_alpha 90.00
_cell_angle_beta 90.00
_cell_angle_gamma 90.00
_space_group_name_H-M_alt 'P 4/m m m'
_space_group_IT_number 123
_space_group_name_Hall '-P 4 2'
loop_
_atom_site_label
_atom_site_type_symbol
_atom_site_fract_x
_atom_site_fract_y
_atom_site_fract_z
_atom_site_occupancy
Ga1 Ga 0.0000 0.0000 0.0000 1
Se1 Se 0.5000 0.5000 0.5000 1
N1 N 0.0000 0.0000 0.5000 1
O1 O 0.0000 0.5000 0.0000 1
# - Raw formation energy: 0.424 eV per atom



No. 3
# PBE-GGA RbZr2PbI, optimized geometry
data_RbZr2PbI
_cell_length_a 5.2774
_cell_length_b 5.2774
_cell_length_c 6.0950
_cell_angle_alpha 90.00
_cell_angle_beta 90.00
_cell_angle_gamma 90.00
_space_group_name_H-M_alt 'P 4/m m m'
_space_group_IT_number 123
_space_group_name_Hall '-P 4 2'
loop_
_atom_site_label
_atom_site_type_symbol
_atom_site_fract_x
_atom_site_fract_y
_atom_site_fract_z
_atom_site_occupancy
Rb1 Rb 0.0000 0.0000 0.0000 1
Zr1 Zr 0.0000 0.5000 0.0000 1
Pb1 Pb 0.0000 0.0000 0.5000 1
I1 I 0.5000 0.5000 0.5000 1
# - Raw formation energy: 1.841 eV per atom